Material: PuSc
Method: DFT, PBE
State: optimized geometry

Lattice parameters (Å, degrees): 3.259 3.259 5.300 90.00 90.00 120.00
Element x y z (fractional)
Pu: 0.000 0.000 0.000
Sc: 0.667 0.333 0.500

- Energy relative to the elements: 0.042 eV/atom
- E above lowest polymorph: 0 meV per atom